(1)
CeScIn2 | Alexandria | PBE | optimized geometry; ΔE_f = -0.40 eV/atom; E = -19.35 eV/cell; symmetry = P4/mmm (123)
1.0
-1.967 -2.659 0.105
2.655 -1.969 -0.149
0.497 -0.012 9.008
Sc Ce In
1 1 2
Cartesian
0.344 -2.314 -0.022
0.593 -2.321 4.482
0.382 -0.010 6.917
0.115 -0.003 2.091

=====

(2)
CeScIn2 | Alexandria | PBE | optimized geometry; ΔE_f = -0.34 eV/atom; E = -19.12 eV/cell; symmetry = P4/mmm (123)
1.0
4.575 0.000 0.000
0.000 4.730 0.000
0.000 0.000 4.730
Sc Ce In
1 1 2
Cartesian
2.288 0.000 0.000
2.288 2.365 2.365
0.000 0.000 2.365
0.000 2.365 0.000

=====

(3)
CeSc2In | Alexandria | PBE | optimized geometry; ΔE_f = -0.14 eV/atom; E = -21.90 eV/cell; symmetry = R3m (160)
1.0
-3.459 1.117 3.754
-4.463 -2.698 0.327
-0.746 -3.348 3.945
Ce Sc In
1 2 1
Cartesian
-4.334 -2.464 4.013
-2.164 -1.236 2.010
-0.749 -3.344 3.941
-6.500 -3.697 6.020

=====

(4)
CeSc14In | Alexandria | PBE | optimized geometry; ΔE_f = -0.05 eV/atom; E = -98.12 eV/cell; symmetry = Amm2 (38)
1.0
6.536 -0.787 0.000
-2.483 6.098 0.000
0.000 0.000 10.362
Sc In Ce
14 1 1
Cartesian
0.554 3.780 5.181
3.826 3.416 5.181
1.778 0.782 0.000
-0.964 4.939 2.536
3.515 1.519 7.676
3.768 3.389 0.000
3.515 1.519 2.686
2.289 4.573 2.583
1.767 0.720 5.181
0.246 1.897 2.583
0.246 1.897 7.779
5.073 0.329 5.181
-0.964 4.939 7.826
2.289 4.573 7.779
0.574 3.764 0.000
4.921 0.446 0.000

=====

Question: Look up the E of the first one.
Answer: -19.35 eV/cell

=====

Question: What is the formula in the fourth record?
Answer: CeSc14In